# 1
Material: Th5SnOs2
Method: DFT, PBE
State: optimized geometry

Unit cell a=8.0259 b=8.0259 c=8.9051 alpha=116.78 beta=116.78 gamma=90.00
With the nearest neighbours (Å) after each atom.
Fractional positions:
Th: 0.5241 0.7063 0.7304  3 Os 2.94-3.03
Th: 0.7937 0.9759 0.2696  3 Os 2.94-3.03
Th: 0.0000 0.0000 0.0000  4 Os 3.10, 2 Sn 3.43
Th: 0.5000 0.5000 0.0000  4 Os 3.10, 2 Sn 3.43
Th: 0.2063 0.0241 0.7304  3 Os 2.94-3.03
Th: 0.7063 0.2063 0.7304  3 Os 2.94-3.03
Th: 0.0241 0.5241 0.7304  3 Os 2.94-3.03
Th: 0.2937 0.7937 0.2696  3 Os 2.94-3.03
Th: 0.9759 0.4759 0.2696  3 Os 2.94-3.03
Th: 0.4759 0.2937 0.2696  3 Os 2.94-3.03
Sn: 0.7500 0.7500 0.5000  10 Th 3.41-3.43
Sn: 0.2500 0.2500 0.5000  10 Th 3.41-3.43
Os: 0.1400 0.3600 0.0000  8 Th 2.94-3.10, 1 Os 3.18
Os: 0.6400 0.1400 0.0000  8 Th 2.94-3.10, 1 Os 3.18
Os: 0.3600 0.8600 0.0000  8 Th 2.94-3.10, 1 Os 3.18
Os: 0.8600 0.6400 0.0000  8 Th 2.94-3.10, 1 Os 3.18

Output
mass density	12.467	g/cm3
volume	27.6	Å³ per atom
final energy	-8.343	eV/atom

***

# 2
Material: Th2SnOs
Method: DFT, PBE
State: optimized geometry

Unit cell a=4.1297 b=4.1297 c=8.2843 alpha=75.57 beta=75.57 gamma=60.00
With the nearest neighbours (Å) after each atom.
Fractional positions:
Os: 0.0000 0.0000 0.0000  6 Th 2.85
Sn: 0.5000 0.5000 0.5000  6 Th 3.39
Th: 0.2676 0.2676 0.1971  3 Os 2.85
Th: 0.7324 0.7324 0.8029  3 Os 2.85

Output
mass density	10.954	g/cm3
volume	29.3	Å³ per atom
excess energy over the best structure of this formula in the dataset	143.6	meV per atom

***

# 3
Material: Th2SnOs
Method: DFT, PBE
State: optimized geometry

Unit cell a=3.3858 b=3.3858 c=8.8497 alpha=90.00 beta=90.00 gamma=90.00
With the nearest neighbours (Å) after each atom.
Fractional positions:
Os: 0.5000 0.5000 0.0000  8 Th 3.05, 4 Os 3.39
Sn: 0.5000 0.5000 0.5000  4 Sn 3.39, 8 Th 3.49
Th: 0.0000 0.0000 0.7868  4 Os 3.05, 4 Th 3.39
Th: 0.0000 0.0000 0.2132  4 Os 3.05, 4 Th 3.39

Output
mass density	12.653	g/cm3
volume	25.4	Å³ per atom
excess energy over the best structure of this formula in the dataset	89.9	meV per atom

***

# 4
Material: Th4SnOs
Method: DFT, PBE
State: optimized geometry

Unit cell a=6.1224 b=7.4710 c=7.4710 alpha=90.00 beta=90.00 gamma=90.00
With the nearest neighbours (Å) after each atom.
Fractional positions:
Th: 0.0000 0.1800 0.6430  2 Os 3.03, 2 Sn 3.36
Th: 0.0000 0.8200 0.3570  2 Os 3.03, 2 Sn 3.36
Th: 0.0000 0.3570 0.1800  2 Os 3.03, 2 Sn 3.36
Th: 0.0000 0.6430 0.8200  2 Os 3.03, 2 Sn 3.36
Th: 0.5000 0.8200 0.6430  2 Os 3.03, 2 Sn 3.36
Th: 0.5000 0.1800 0.3570  2 Os 3.03, 2 Sn 3.36
Th: 0.5000 0.6430 0.1800  2 Os 3.03, 2 Sn 3.36
Th: 0.5000 0.3570 0.8200  2 Os 3.03, 2 Sn 3.36
Sn: 0.2500 0.0000 0.0000  2 Sn 3.06, 8 Th 3.36
Sn: 0.7500 0.0000 0.0000  2 Sn 3.06, 8 Th 3.36
Os: 0.2500 0.5000 0.5000  8 Th 3.03, 2 Os 3.06
Os: 0.7500 0.5000 0.5000  8 Th 3.03, 2 Os 3.06

Output
mass density	12.023	g/cm3
volume	28.5	Å³ per atom
excess energy over the best structure of this formula in the dataset	0.0	meV per atom